DFT (GGA-PBEsol) results for a relaxed Cu6SnGe crystal.

Formation enthalpy at 0 K ... -0.013 eV per atom
SG ... Pmm2
Energy ... -35.31 eV per formula unit

a = 4.188 Å, b = 4.560 Å, c = 5.409 Å
α = 90.00°, β = 90.00°, γ = 90.00°
Fractional coordinates of all 8 atoms:
Cu  0.500  0.842  0.265
Cu  0.000  0.167  0.736
Cu  0.000  0.167  0.264
Cu  0.500  0.842  0.735
Cu  0.000  0.668  0.500
Cu  0.500  0.304  0.000
Sn  0.000  0.673  0.000
Ge  0.500  0.337  0.500

---

DFT (GGA-PBEsol) results for a relaxed SrCu2Ge2 crystal.

Formation enthalpy at 0 K ... -0.403 eV per atom
SG ... I4/mmm
Energy ... -22.40 eV per formula unit

a = 4.205 Å, b = 4.205 Å, c = 5.876 Å
α = 110.97°, β = 110.97°, γ = 90.00°
Fractional coordinates of all 5 atoms:
Sr  0.000  0.000  0.000
Ge  0.373  0.373  0.747
Ge  0.627  0.627  0.253
Cu  0.750  0.250  0.500
Cu  0.250  0.750  0.500

---

DFT (GGA-PBEsol) results for a relaxed SrCu9Ge4 crystal.

Formation enthalpy at 0 K ... -0.195 eV per atom
SG ... I4/mcm
Energy ... -63.33 eV per formula unit

a = 8.175 Å, b = 8.249 Å, c = 8.175 Å
α = 119.70°, β = 90.00°, γ = 119.70°
Fractional coordinates of all 28 atoms:
Sr  0.750  0.500  0.750
Sr  0.250  0.500  0.250
Cu  0.939  0.643  0.204
Cu  0.296  0.357  0.561
Cu  0.061  0.357  0.796
Cu  0.561  0.357  0.061
Cu  0.796  0.357  0.296
Cu  0.439  0.643  0.939
Cu  0.204  0.643  0.704
Cu  0.704  0.643  0.439
Cu  0.562  0.000  0.297
Cu  0.203  0.000  0.938
Cu  0.000  0.000  0.500
Cu  0.500  0.000  0.000
Cu  0.438  0.000  0.703
Cu  0.297  0.000  0.438
Cu  0.703  0.000  0.562
Cu  0.062  0.000  0.203
Cu  0.938  0.000  0.797
Cu  0.797  0.000  0.062
Ge  0.199  0.756  0.057
Ge  0.443  0.244  0.301
Ge  0.801  0.244  0.943
Ge  0.301  0.244  0.801
Ge  0.943  0.244  0.443
Ge  0.699  0.756  0.199
Ge  0.057  0.756  0.557
Ge  0.557  0.756  0.699

---

DFT (GGA-PBEsol) results for a relaxed SrCuGe crystal.

Formation enthalpy at 0 K ... -0.410 eV per atom
SG ... P-6m2
Energy ... -12.34 eV per formula unit

a = 4.161 Å, b = 4.161 Å, c = 4.514 Å
α = 90.00°, β = 90.00°, γ = 120.00°
Fractional coordinates of all 3 atoms:
Sr  0.333  0.667  0.000
Ge  0.667  0.333  0.500
Cu  0.000  0.000  0.500

---

DFT (GGA-PBEsol) results for a relaxed TaCuGe3 crystal.

Formation enthalpy at 0 K ... 0.852 eV per atom
SG ... Pm-3m
Energy ... -27.44 eV per formula unit

a = 4.927 Å, b = 4.927 Å, c = 4.927 Å
α = 90.00°, β = 90.00°, γ = 90.00°
Fractional coordinates of all 5 atoms:
Ge  0.000  0.500  0.000
Ge  0.000  0.000  0.500
Ge  0.500  0.000  0.000
Cu  0.500  0.500  0.500
Ta  0.000  0.000  0.000

---

DFT (GGA-PBEsol) results for a relaxed TbCu2Ge2 crystal.

Formation enthalpy at 0 K ... -0.563 eV per atom
SG ... I4/mmm
Energy ... -26.37 eV per formula unit

a = 4.002 Å, b = 4.002 Å, c = 5.814 Å
α = 110.13°, β = 110.13°, γ = 90.00°
Fractional coordinates of all 5 atoms:
Ge  0.380  0.380  0.760
Ge  0.620  0.620  0.240
Tb  0.000  0.000  0.000
Cu  0.750  0.250  0.500
Cu  0.250  0.750  0.500

---

DFT (GGA-PBEsol) results for a relaxed Tb2CuGe6 crystal.

Formation enthalpy at 0 K ... -0.494 eV per atom
SG ... Amm2
Energy ... -48.43 eV per formula unit

a = 3.985 Å, b = 4.038 Å, c = 10.749 Å
α = 90.00°, β = 100.68°, γ = 90.00°
Fractional coordinates of all 9 atoms:
Tb  0.995  0.000  0.991
Tb  0.332  0.000  0.663
Cu  0.775  0.500  0.551
Ge  0.715  0.000  0.430
Ge  0.598  0.000  0.197
Ge  0.457  0.500  0.913
Ge  0.884  0.500  0.768
Ge  0.098  0.500  0.196
Ge  0.215  0.500  0.429

---

DFT (GGA-PBEsol) results for a relaxed TbCuGe crystal.

Formation enthalpy at 0 K ... -0.721 eV per atom
SG ... P6_3/mmc
Energy ... -16.45 eV per formula unit

a = 4.178 Å, b = 4.178 Å, c = 7.349 Å
α = 90.00°, β = 90.00°, γ = 120.00°
Fractional coordinates of all 6 atoms:
Ge  0.333  0.667  0.750
Ge  0.667  0.333  0.250
Tb  0.000  0.000  0.500
Tb  0.000  0.000  0.000
Cu  0.333  0.667  0.250
Cu  0.667  0.333  0.750

---

DFT (GGA-PBEsol) results for a relaxed CuGe2Te2 crystal.

Formation energy (no corrections) ... 123 kJ/mol of formula units
SG ... I4/mmm
Energy ... -19.99 eV per formula unit

a = 5.410 Å, b = 5.410 Å, c = 5.410 Å
α = 93.44°, β = 118.04°, γ = 118.04°
Fractional coordinates of all 5 atoms:
Ge  0.000  0.674  0.674
Ge  0.000  0.326  0.326
Te  0.500  0.750  0.250
Te  0.500  0.250  0.750
Cu  0.000  0.000  0.000

---

DFT (GGA-PBEsol) results for a relaxed ThCu2Ge2 crystal.

Formation enthalpy at 0 K ... -0.527 eV per atom
SG ... I4/mmm
Energy ... -29.29 eV per formula unit

a = 4.142 Å, b = 4.142 Å, c = 5.778 Å
α = 111.00°, β = 111.00°, γ = 90.00°
Fractional coordinates of all 5 atoms:
Ge  0.376  0.376  0.751
Ge  0.624  0.624  0.249
Cu  0.750  0.250  0.500
Cu  0.250  0.750  0.500
Th  0.000  0.000  0.000

---

DFT (GGA-PBEsol) results for a relaxed Ti2CuGe2 crystal.

Formation enthalpy at 0 K ... -0.474 eV per atom
SG ... P4/mbm
Energy ... -33.23 eV per formula unit

a = 3.727 Å, b = 6.318 Å, c = 6.318 Å
α = 90.00°, β = 90.00°, γ = 90.00°
Fractional coordinates of all 10 atoms:
Ge  0.000  0.364  0.864
Ge  0.000  0.864  0.636
Ge  0.000  0.636  0.136
Ge  0.000  0.136  0.364
Cu  0.000  0.000  0.000
Cu  0.000  0.500  0.500
Ti  0.500  0.173  0.673
Ti  0.500  0.673  0.827
Ti  0.500  0.827  0.327
Ti  0.500  0.327  0.173

---

DFT (GGA-PBEsol) results for a relaxed Tl3CuGe crystal.

Formation enthalpy at 0 K ... 0.430 eV per atom
SG ... Pm-3m
Energy ... -15.01 eV per formula unit

a = 5.064 Å, b = 5.064 Å, c = 5.064 Å
α = 90.00°, β = 90.00°, γ = 90.00°
Fractional coordinates of all 5 atoms:
Tl  0.000  0.500  0.000
Tl  0.000  0.000  0.500
Tl  0.500  0.000  0.000
Ge  0.500  0.500  0.500
Cu  0.000  0.000  0.000

---

no.,magnetization (μB per formula unit)
1,0.00
2,0.00
3,0.00
4,0.00
5,0.00
6,0.00
7,0.00
8,0.00
9,0.00
10,0.00
11,0.00
12,0.00